[1]
The following is a DFT calculation (PBE-GGA) of a relaxed structure of PuTiCdPb.

N(E_F) in states/eV/atom: 2.836
Size of the total moment in μB per cell: 30.3
Crystal system: cubic
Energy of formation in meV/atom: 82.7

Cell: 7.296 7.296 7.296 Å, 90.00 90.00 90.00°
Space group F-43m (No. 216)
Unique sites:
Pu (0.000, 0.000, 0.000)
Ti (0.000, 0.000, 0.500)
Cd (0.250, 0.250, 0.750)
Pb (0.250, 0.250, 0.250)

[2]
The following is a DFT calculation (PBE-GGA) of a relaxed structure of TmPuCdPb.

N(E_F) in states/eV/atom: 2.529
Size of the total moment in μB per cell: 26.6
Crystal system: cubic
Energy of formation in meV/atom: -191.0

Cell: 7.573 7.573 7.573 Å, 90.00 90.00 90.00°
Space group F-43m (No. 216)
Unique sites:
Tm (0.000, 0.000, 0.000)
Pu (0.000, 0.000, 0.500)
Cd (0.250, 0.250, 0.250)
Pb (0.250, 0.250, 0.750)

[3]
The following is a DFT calculation (PBE-GGA) of a relaxed structure of PuZrCdPb.

N(E_F) in states/eV/atom: 2.971
Size of the total moment in μB per cell: 26.6
Crystal system: cubic
Energy of formation in meV/atom: 10.4

Cell: 7.396 7.396 7.396 Å, 90.00 90.00 90.00°
Space group F-43m (No. 216)
Unique sites:
Pu (0.000, 0.000, 0.000)
Zr (0.000, 0.000, 0.500)
Cd (0.250, 0.250, 0.250)
Pb (0.250, 0.250, 0.750)

[4]
The following is a DFT calculation (PBE-GGA) of a relaxed structure of RbCd3Pb9.

N(E_F) in states/eV/atom: 0.467
Size of the total moment in μB per cell: 0.0
Crystal system: monoclinic
Energy of formation in meV/atom: -17.3

Cell: 6.229 16.861 8.382 Å, 90.00 109.74 90.00°
Space group C2/m (No. 12)
Unique sites:
Rb (0.000, 0.000, 0.000)
Cd (0.000, 0.500, 0.500)
Cd (0.250, 0.250, 0.000)
Pb (0.000, 0.000, 0.500)
Pb (0.104, 0.387, 0.218)
Pb (0.171, 0.179, 0.354)

[5]
The following is a DFT calculation (PBE-GGA) of a relaxed structure of Rb2Cd3Pb4.

N(E_F) in states/eV/atom: 0.529
Size of the total moment in μB per cell: 0.0
Crystal system: orthorhombic
Energy of formation in meV/atom: -31.3

Cell: 6.484 12.268 15.569 Å, 90.00 90.00 90.00°
Space group Fmmm (No. 69)
Unique sites:
Rb (0.000, 0.000, 0.137)
Cd (0.000, 0.000, 0.500)
Cd (0.250, 0.250, 0.000)
Pb (0.000, 0.177, 0.343)

[6]
The following is a DFT calculation (PBE-GGA) of a relaxed structure of Rb3Cd3Pb8.

N(E_F) in states/eV/atom: 0.307
Size of the total moment in μB per cell: 0.0
Crystal system: orthorhombic
Energy of formation in meV/atom: -92.1

Cell: 5.175 12.472 14.613 Å, 90.00 90.00 90.00°
Space group Immm (No. 71)
Unique sites:
Rb (0.000, 0.000, 0.000)
Rb (0.000, 0.000, 0.270)
Cd (0.000, 0.130, 0.500)
Cd (0.000, 0.500, 0.000)
Pb (0.000, 0.302, 0.150)
Pb (0.000, 0.344, 0.380)

[7]
The following is a DFT calculation (PBE-GGA) of a relaxed structure of Rb2Cd2Pb.

N(E_F) in states/eV/atom: 0.395
Size of the total moment in μB per cell: 0.0
Relative energy among the computed polymorphs in meV/atom: 61
Crystal system: tetragonal
Energy of formation in meV/atom: -46.2

Cell: 8.055 8.055 6.044 Å, 90.00 90.00 90.00°
Space group P4/mbm (No. 127)
Unique sites:
Rb (0.180, 0.320, 0.000)
Cd (0.133, 0.633, 0.500)
Pb (0.000, 0.000, 0.500)

[8]
The following is a DFT calculation (PBE-GGA) of a relaxed structure of Rb2Cd16Pb.

N(E_F) in states/eV/atom: 0.371
Size of the total moment in μB per cell: 0.0
Crystal system: trigonal
Energy of formation in meV/atom: -45.3

Cell: 10.6500 10.6500 15.1778 Å, 90.00 90.00 120.00°
Space group R3m (No. 160, hexagonal axes)
Unique sites:
Rb (0.0000, 0.0000, 0.0000)
Rb (0.0000, 0.0000, 0.3167)
Cd (0.0000, 0.0000, 0.7614)
Cd (0.0121, 0.5060, 0.8089)
Cd (0.0339, 0.3662, 0.3244)
Cd (0.1702, 0.3404, 0.8402)
Cd (0.1723, 0.3446, 0.4916)
Pb (0.0000, 0.0000, 0.5578)

[9]
The following is a DFT calculation (PBE-GGA) of a relaxed structure of RbCd4Pb.

N(E_F) in states/eV/atom: 0.308
Size of the total moment in μB per cell: 0.0
Crystal system: cubic
Energy of formation in meV/atom: -24.2

Cell: 8.840 8.840 8.840 Å, 90.00 90.00 90.00°
Space group F-43m (No. 216)
Unique sites:
Rb (0.000, 0.000, 0.000)
Cd (0.125, 0.125, 0.375)
Pb (0.250, 0.250, 0.750)

[10]
The following is a DFT calculation (PBE-GGA) of a relaxed structure of RbCdPb4.

N(E_F) in states/eV/atom: 0.459
Size of the total moment in μB per cell: 0.0
Relative energy among the computed polymorphs in meV/atom: 0
Crystal system: triclinic
Energy of formation in meV/atom: -34.6

Cell: 6.166 8.946 8.961 Å, 62.34 80.37 80.37°
Space group P-1 (No. 2)
Unique sites:
Rb (0.250, 0.196, 0.304)
Cd (0.000, 0.500, 0.500)
Cd (0.500, 0.000, 0.000)
Pb (0.105, 0.096, 0.780)
Pb (0.234, 0.693, 0.047)
Pb (0.266, 0.452, 0.808)
Pb (0.395, 0.719, 0.405)

[11]
The following is a DFT calculation (PBE-GGA) of a relaxed structure of RbCd2Pb.

N(E_F) in states/eV/atom: 0.447
Size of the total moment in μB per cell: 0.0
Crystal system: tetragonal
Energy of formation in meV/atom: 99.8

Cell: 5.468 5.468 4.430 Å, 90.00 90.00 90.00°
Space group P4/mmm (No. 123)
Unique sites:
Rb (0.000, 0.000, 0.000)
Cd (0.000, 0.500, 0.500)
Pb (0.500, 0.500, 0.000)

[12]
The following is a DFT calculation (PBE-GGA) of a relaxed structure of Rb2Cd7Pb.

N(E_F) in states/eV/atom: 0.574
Size of the total moment in μB per cell: 0.0
Crystal system: tetragonal
Energy of formation in meV/atom: -53.5

Cell: 4.982 4.982 12.761 Å, 90.00 90.00 90.00°
Space group P-4m2 (No. 115)
Unique sites:
Rb (0.000, 0.500, 0.249)
Cd (0.000, 0.000, 0.000)
Cd (0.000, 0.500, 0.640)
Cd (0.000, 0.500, 0.868)
Cd (0.500, 0.500, 0.000)
Cd (0.500, 0.500, 0.500)
Pb (0.000, 0.000, 0.500)

[13]
The following is a DFT calculation (PBE-GGA) of a relaxed structure of RbCd2Pb2.

N(E_F) in states/eV/atom: 0.402
Size of the total moment in μB per cell: 0.0
Relative energy among the computed polymorphs in meV/atom: 89
Crystal system: tetragonal
Energy of formation in meV/atom: -14.1

Cell: 9.527 9.527 3.469 Å, 90.00 90.00 90.00°
Space group P4/mbm (No. 127)
Unique sites:
Rb (0.000, 0.000, 0.000)
Cd (0.136, 0.364, 0.000)
Pb (0.152, 0.652, 0.500)

[14]
The following is a DFT calculation (PBE-GGA) of a relaxed structure of Rb2Cd15Pb2.

N(E_F) in states/eV/atom: 0.326
Size of the total moment in μB per cell: 0.0
Crystal system: trigonal
Energy of formation in meV/atom: -44.6

Cell: 10.8576 10.8576 14.9512 Å, 90.00 90.00 120.00°
Space group R-3m (No. 166, hexagonal axes)
Unique sites:
Rb (0.0000, 0.0000, 0.1562)
Cd (0.0000, 0.3022, 0.5000)
Cd (0.0000, 0.5000, 0.0000)
Cd (0.0111, 0.5056, 0.6507)
Pb (0.0000, 0.0000, 0.3951)

[15]
The following is a DFT calculation (PBE-GGA) of a relaxed structure of RbCd2Pb9.

N(E_F) in states/eV/atom: 0.493
Size of the total moment in μB per cell: 0.0
Crystal system: tetragonal
Energy of formation in meV/atom: -18.8

Cell: 13.363 13.363 9.012 Å, 90.00 90.00 90.00°
Space group I4_1/amd (No. 141, origin choice 2)
Unique sites:
Rb (0.000, 0.250, 0.375)
Cd (0.000, 0.000, 0.000)
Pb (0.000, 0.250, 0.875)
Pb (0.127, 0.052, 0.679)

[16]
The following is a DFT calculation (PBE-GGA) of a relaxed structure of Rb2Cd7Pb12.

N(E_F) in states/eV/atom: 0.639
Size of the total moment in μB per cell: 0.0
Crystal system: trigonal
Energy of formation in meV/atom: 25.7

Cell: 14.2519 14.2519 3.6866 Å, 90.00 90.00 120.00°
Space group P-3 (No. 147)
Unique sites:
Rb (0.3333, 0.6667, 0.2438)
Cd (0.0000, 0.0000, 0.5000)
Cd (0.1214, 0.4206, 0.7398)
Pb (0.0804, 0.6294, 0.7497)
Pb (0.0955, 0.8488, 0.2372)

[17]
The following is a DFT calculation (PBE-GGA) of a relaxed structure of Rb2Cd2Pb.

N(E_F) in states/eV/atom: 1.012
Size of the total moment in μB per cell: 0.0
Relative energy among the computed polymorphs in meV/atom: 369
Crystal system: tetragonal
Energy of formation in meV/atom: 261.0

Cell: 5.293 5.293 14.994 Å, 90.00 90.00 90.00°
Space group I4/mmm (No. 139)
Unique sites:
Rb (0.000, 0.500, 0.250)
Cd (0.000, 0.000, 0.092)
Pb (0.000, 0.000, 0.500)

[18]
The following is a DFT calculation (PBE-GGA) of a relaxed structure of RbCd4Pb4.

N(E_F) in states/eV/atom: 0.443
Size of the total moment in μB per cell: 0.0
Crystal system: tetragonal
Energy of formation in meV/atom: 26.0

Cell: 9.986 9.986 6.253 Å, 90.00 90.00 90.00°
Space group P4_2/n (No. 86, origin choice 2)
Unique sites:
Rb (0.250, 0.250, 0.250)
Cd (0.064, 0.899, 0.132)
Pb (0.104, 0.882, 0.622)

[19]
The following is a DFT calculation (PBE-GGA) of a relaxed structure of RbCdPb4.

N(E_F) in states/eV/atom: 0.542
Size of the total moment in μB per cell: 0.0
Relative energy among the computed polymorphs in meV/atom: 4
Crystal system: orthorhombic
Energy of formation in meV/atom: -30.1

Cell: 5.256 19.657 7.774 Å, 90.00 90.00 90.00°
Space group Cmcm (No. 63)
Unique sites:
Rb (0.000, 0.126, 0.250)
Cd (0.000, 0.219, 0.750)
Pb (0.000, 0.062, 0.750)
Pb (0.000, 0.324, 0.048)
Pb (0.000, 0.500, 0.000)

[20]
The following is a DFT calculation (PBE-GGA) of a relaxed structure of Rb3Cd3Pb.

N(E_F) in states/eV/atom: 0.417
Size of the total moment in μB per cell: 0.0
Crystal system: monoclinic
Energy of formation in meV/atom: -72.3

Cell: 13.760 5.164 18.293 Å, 90.00 108.03 90.00°
Space group C2/m (No. 12)
Unique sites:
Rb (0.012, 0.000, 0.386)
Rb (0.118, 0.000, 0.924)
Rb (0.249, 0.000, 0.228)
Cd (0.041, 0.500, 0.226)
Cd (0.084, 0.500, 0.076)
Cd (0.199, 0.500, 0.535)
Pb (0.227, 0.500, 0.376)